Model P:
The following is a DFT calculation (GGA-PBE) of a geometry-optimized PrPPbO structure. Values from VASP.

- density (g cm⁻³) = 6.07
- space group = No. 26

```
&SYSTEM
  ibrav = 0, nat = 8, ntyp = 4
/
ATOMIC_SPECIES
Pr 140.91 Pr.upf
P 30.97 P.upf
Pb 207.20 Pb.upf
O 16.00 O.upf
ATOMIC_POSITIONS angstrom
Pr 0.000 1.070 0.000
Pr 0.000 5.603 3.268
P 2.479 2.017 5.421
P 2.479 4.655 2.153
Pb 2.479 1.904 2.674
Pb 2.479 4.768 5.942
O 0.000 0.932 2.275
O 0.000 5.740 5.543
CELL_PARAMETERS angstrom
4.958 0.000 0.000
0.000 6.672 0.000
0.000 0.000 6.536
```

Model Q:
The following is a DFT calculation (GGA-PBE) of a geometry-optimized PrPPbO structure. Values from VASP.

- density (g cm⁻³) = 7.13
- space group = No. 129

```
&SYSTEM
  ibrav = 0, nat = 8, ntyp = 4
/
ATOMIC_SPECIES
Pr 140.91 Pr.upf
P 30.97 P.upf
Pb 207.20 Pb.upf
O 16.00 O.upf
ATOMIC_POSITIONS angstrom
Pr 1.096 1.096 1.033
Pr 3.289 3.289 8.538
P 1.096 1.096 6.852
P 3.289 3.289 2.719
Pb 1.096 3.289 4.785
Pb 3.289 1.096 4.785
O 1.096 3.289 0.000
O 3.289 1.096 0.000
CELL_PARAMETERS angstrom
4.386 0.000 0.000
0.000 4.386 0.000
0.000 0.000 9.571
```

What is the stability order? It is model Q, model P, from most stable to least stable.

Model P:
The following is a DFT calculation (GGA-PBE) of a geometry-optimized PPtPbO structure. Values from VASP.

- density (g cm⁻³) = 9.24
- space group = No. 129

```
&SYSTEM
  ibrav = 0, nat = 8, ntyp = 4
/
ATOMIC_SPECIES
P 30.97 P.upf
Pt 195.08 Pt.upf
Pb 207.20 Pb.upf
O 16.00 O.upf
ATOMIC_POSITIONS angstrom
P 1.021 1.021 1.249
P 3.063 3.063 8.433
Pt 1.021 3.063 0.000
Pt 3.063 1.021 0.000
Pb 1.021 1.021 6.015
Pb 3.063 3.063 3.666
O 1.021 3.063 4.841
O 3.063 1.021 4.841
CELL_PARAMETERS angstrom
4.084 0.000 0.000
0.000 4.084 0.000
0.000 0.000 9.682
```

Model Q:
The following is a DFT calculation (GGA-PBE) of a geometry-optimized PPtPbO structure. Values from VASP.

- density (g cm⁻³) = 8.64
- space group = No. 129

```
&SYSTEM
  ibrav = 0, nat = 8, ntyp = 4
/
ATOMIC_SPECIES
P 30.97 P.upf
Pt 195.08 Pt.upf
Pb 207.20 Pb.upf
O 16.00 O.upf
ATOMIC_POSITIONS angstrom
P 1.125 1.125 1.762
P 3.374 3.374 6.774
Pt 1.125 1.125 3.966
Pt 3.374 3.374 4.570
Pb 1.125 3.374 0.000
Pb 3.374 1.125 0.000
O 1.125 3.374 4.268
O 3.374 1.125 4.268
CELL_PARAMETERS angstrom
4.498 0.000 0.000
0.000 4.498 0.000
0.000 0.000 8.536
```

Model R:
The following is a DFT calculation (GGA-PBE) of a geometry-optimized PPtPbO structure. Values from VASP.

- density (g cm⁻³) = 9.09
- space group = No. 26

```
&SYSTEM
  ibrav = 0, nat = 8, ntyp = 4
/
ATOMIC_SPECIES
P 30.97 P.upf
Pt 195.08 Pt.upf
Pb 207.20 Pb.upf
O 16.00 O.upf
ATOMIC_POSITIONS angstrom
P 0.000 1.017 0.000
P 0.000 6.614 3.114
Pt 1.726 2.227 0.746
Pt 1.726 5.405 3.860
Pb 0.000 1.967 3.376
Pb 0.000 5.664 0.262
O 1.726 3.359 3.901
O 1.726 4.273 0.787
CELL_PARAMETERS angstrom
3.452 0.000 0.000
0.000 7.632 0.000
0.000 0.000 6.228
```

What is the stability order? It is model P, model R, model Q, from most stable to least stable.

Model P:
The following is a DFT calculation (GGA-PBE) of a geometry-optimized P2Pd2O7 structure. Values from VASP.

- density (g cm⁻³) = 4.72
- space group = No. 15

```
&SYSTEM
  ibrav = 0, nat = 22, ntyp = 3
/
ATOMIC_SPECIES
P 30.97 P.upf
Pd 106.42 Pd.upf
O 16.00 O.upf
ATOMIC_POSITIONS angstrom
P 4.386 1.979 5.883
P 7.253 1.979 6.131
P 4.910 -1.979 1.878
P 7.777 -1.979 2.126
Pd 3.303 1.285 0.000
Pd 2.779 -1.285 4.005
Pd 6.606 0.000 0.000
Pd 6.082 0.000 4.005
O 6.344 2.424 2.002
O 1.699 0.485 6.254
O 4.188 1.345 7.315
O 4.466 0.969 4.751
O 2.223 -0.485 2.250
O 7.451 1.345 4.699
O 7.173 0.969 7.263
O 4.990 -0.969 0.746
O 4.712 -1.345 3.310
O 9.940 0.485 5.760
O 7.697 -0.969 3.259
O 7.975 -1.345 0.695
O 10.464 -0.485 1.755
O 5.819 -2.424 6.007
CELL_PARAMETERS angstrom
6.606 -2.571 0.000
6.606 2.571 0.000
-1.049 0.000 8.009
```

Model Q:
The following is a DFT calculation (GGA-PBE) of a geometry-optimized P2Pd2O7 structure. Values from VASP.

- density (g cm⁻³) = 4.84
- space group = No. 1

```
&SYSTEM
  ibrav = 0, nat = 11, ntyp = 3
/
ATOMIC_SPECIES
P 30.97 P.upf
Pd 106.42 Pd.upf
O 16.00 O.upf
ATOMIC_POSITIONS angstrom
P 0.000 0.000 0.000
P -0.768 2.777 3.412
Pd 1.834 0.159 2.733
Pd 1.868 2.600 0.693
O -1.624 3.656 4.388
O 1.007 0.741 0.926
O 0.009 1.745 4.203
O 0.075 3.701 2.556
O 2.355 -0.013 4.669
O 2.473 4.503 0.854
O 2.688 2.031 2.503
CELL_PARAMETERS angstrom
4.475 0.000 0.000
-1.208 5.468 0.000
-1.292 -1.032 5.427
```

What is the stability order? It is model P, model Q, from most stable to least stable.

Model P:
The following is a DFT calculation (GGA-PBE) of a geometry-optimized PPdPtO structure. Values from VASP.

- density (g cm⁻³) = 11.01
- space group = No. 129

```
&SYSTEM
  ibrav = 0, nat = 8, ntyp = 4
/
ATOMIC_SPECIES
P 30.97 P.upf
Pd 106.42 Pd.upf
Pt 195.08 Pt.upf
O 16.00 O.upf
ATOMIC_POSITIONS angstrom
P 0.974 0.974 1.489
P 2.923 2.923 5.432
Pd 0.974 2.923 0.000
Pd 2.923 0.974 0.000
Pt 0.974 0.974 4.630
Pt 2.923 2.923 2.292
O 0.974 2.923 3.461
O 2.923 0.974 3.461
CELL_PARAMETERS angstrom
3.898 0.000 0.000
0.000 3.898 0.000
0.000 0.000 6.921
```

Model Q:
The following is a DFT calculation (GGA-PBE) of a geometry-optimized PPdPtO structure. Values from VASP.

- density (g cm⁻³) = 9.83
- space group = No. 129

```
&SYSTEM
  ibrav = 0, nat = 8, ntyp = 4
/
ATOMIC_SPECIES
P 30.97 P.upf
Pd 106.42 Pd.upf
Pt 195.08 Pt.upf
O 16.00 O.upf
ATOMIC_POSITIONS angstrom
P 1.060 1.060 1.145
P 3.179 3.179 5.405
Pd 1.060 1.060 3.569
Pd 3.179 3.179 2.981
Pt 1.060 3.179 0.000
Pt 3.179 1.060 0.000
O 1.060 3.179 3.275
O 3.179 1.060 3.275
CELL_PARAMETERS angstrom
4.239 0.000 0.000
0.000 4.239 0.000
0.000 0.000 6.550
```

What is the stability order? It is model Q, model P, from most stable to least stable.

Model P:
The following is a DFT calculation (GGA-PBE) of a geometry-optimized ScPPdO structure. Values from VASP.

- density (g cm⁻³) = 5.68
- space group = No. 129

```
&SYSTEM
  ibrav = 0, nat = 8, ntyp = 4
/
ATOMIC_SPECIES
Sc 44.96 Sc.upf
P 30.97 P.upf
Pd 106.42 Pd.upf
O 16.00 O.upf
ATOMIC_POSITIONS angstrom
Sc 0.981 0.981 0.881
Sc 2.944 2.944 6.639
P 0.981 0.981 5.123
P 2.944 2.944 2.398
Pd 0.981 2.944 3.760
Pd 2.944 0.981 3.760
O 0.981 2.944 0.000
O 2.944 0.981 0.000
CELL_PARAMETERS angstrom
3.926 0.000 0.000
0.000 3.926 0.000
0.000 0.000 7.521
```

Model Q:
The following is a DFT calculation (GGA-PBE) of a geometry-optimized ScPPdO structure. Values from VASP.

- density (g cm⁻³) = 5.04
- space group = No. 26

```
&SYSTEM
  ibrav = 0, nat = 8, ntyp = 4
/
ATOMIC_SPECIES
Sc 44.96 Sc.upf
P 30.97 P.upf
Pd 106.42 Pd.upf
O 16.00 O.upf
ATOMIC_POSITIONS angstrom
Sc 0.000 1.643 0.000
Sc 0.000 5.739 2.625
P 0.000 3.137 2.651
P 0.000 4.245 0.026
Pd 1.685 1.611 2.647
Pd 1.685 5.771 0.022
O 1.685 0.677 0.165
O 1.685 6.706 2.790
CELL_PARAMETERS angstrom
3.370 0.000 0.000
0.000 7.382 0.000
0.000 0.000 5.249
```

What is the stability order? It is model P, model Q, from most stable to least stable.